Entry 1:
Material: BaCaV2
Method: DFT, PBE-GGA
State: relaxed

```
data_BaCaV2
_chemical_formula_sum 'Ba4 Ca4 V8'
_cell_length_a 7.8960
_cell_length_b 7.8960
_cell_length_c 7.8960
_cell_angle_alpha 90.00
_cell_angle_beta 90.00
_cell_angle_gamma 90.00
_space_group_name_H-M_alt 'F m -3 m'
_space_group_IT_number 225
_space_group_name_Hall '-F 4 2 3'
loop_
_atom_site_label
_atom_site_fract_x
_atom_site_fract_y
_atom_site_fract_z
Ba1 0.0000 0.0000 0.0000
Ca1 0.0000 0.0000 0.5000
V1 0.2500 0.2500 0.2500
```

Energy of formation in meV per atom: 1011
Size of the total moment in μB/f.u.: 8.7
Distance to the lowest polymorph of the same formula in kJ/mol of atoms: 0.0
Crystal system: cubic
DOS at the Fermi energy in states/eV per atom: 1.457

Entry 2:
Material: BaCaYV2
Method: DFT, PBE-GGA
State: relaxed

```
data_BaCaYV2
_chemical_formula_sum 'Ba1 Ca1 Y1 V2'
_cell_length_a 5.3195
_cell_length_b 5.3195
_cell_length_c 5.8808
_cell_angle_alpha 90.00
_cell_angle_beta 90.00
_cell_angle_gamma 90.00
_space_group_name_H-M_alt 'P 4/m m m'
_space_group_IT_number 123
_space_group_name_Hall '-P 4 2'
loop_
_atom_site_label
_atom_site_fract_x
_atom_site_fract_y
_atom_site_fract_z
Ba1 0.0000 0.0000 0.0000
Ca1 0.5000 0.5000 0.0000
Y1 0.5000 0.5000 0.5000
V1 0.0000 0.5000 0.5000
```

Energy of formation in meV per atom: 1230
Size of the total moment in μB/f.u.: 5.0
Crystal system: tetragonal
DOS at the Fermi energy in states/eV per atom: 1.054